Here is a relaxed structure of Li4VCr3O8 from the Alexandria database. Energies are from PBE with a Hubbard U.

```
Li4VCr3O8
1.0
5.162 -2.981 0.000
5.162 2.981 0.000
-1.717 0.000 4.856
Li V Cr O
4 1 3 8
direct
0.246 0.754 0.000 Li
0.248 0.248 0.996 Li
0.752 0.752 0.004 Li
0.754 0.246 0.000 Li
0.500 0.500 0.500 V
0.000 0.000 0.500 Cr
0.000 0.500 0.500 Cr
0.500 0.000 0.500 Cr
0.126 0.631 0.274 O
0.129 0.129 0.276 O
0.369 0.874 0.726 O
0.370 0.370 0.727 O
0.630 0.630 0.273 O
0.631 0.126 0.274 O
0.871 0.871 0.724 O
0.874 0.369 0.726 O
```

## Properties
VASP energy	-6.903	eV/atom
magnetization	0.688	μB/atom
crystal system	monoclinic